[1]
A plane-wave DFT calculation with SCAN was carried out for SrTlC2 at its PBEsol-relaxed geometry.

The total energy comes out at -26.9374 eV per atom. Its density of states at the Fermi level is 0.59 states/eV per atom.

The structure belongs to space group Fm-3m (No. 225); the cell edges are 6.374, 6.374 and 6.374 Å and the angles 90.00°, 90.00° and 90.00°. The distinct sites, in fractional coordinates, are Sr at (0.000, 0.000, 0.000), Tl at (0.000, 0.000, 0.500) and C at (0.250, 0.250, 0.250).

=====

[2]
A plane-wave DFT calculation with SCAN was carried out for SrYC3 at its PBEsol-relaxed geometry.

The total energy comes out at -14.3961 eV per atom. Its density of states at the Fermi level is 0.58 states/eV per atom.

The structure belongs to space group Pm-3m (No. 221); the cell edges are 4.485, 4.485 and 4.485 Å and the angles 90.00°, 90.00° and 90.00°. The distinct sites, in fractional coordinates, are Sr at (0.000, 0.000, 0.000), Y at (0.500, 0.500, 0.500) and C at (0.000, 0.500, 0.500).

=====

[3]
A plane-wave DFT calculation with SCAN was carried out for SrZnC3 at its PBEsol-relaxed geometry.

The total energy comes out at -9.4517 eV per atom. Its density of states at the Fermi level is 0.76 states/eV per atom.

The structure belongs to space group Pm-3m (No. 221); the cell edges are 4.553, 4.553 and 4.553 Å and the angles 90.00°, 90.00° and 90.00°. The distinct sites, in fractional coordinates, are Sr at (0.000, 0.000, 0.000), Zn at (0.500, 0.500, 0.500) and C at (0.000, 0.000, 0.500).

=====

[4]
A plane-wave DFT calculation with SCAN was carried out for SrZn3C at its PBEsol-relaxed geometry.

The total energy comes out at -12.4670 eV per atom. Its density of states at the Fermi level is 0.44 states/eV per atom.

The structure belongs to space group Pm-3m (No. 221); the cell edges are 6.130, 6.130 and 6.130 Å and the angles 90.00°, 90.00° and 90.00°. The distinct sites, in fractional coordinates, are Sr at (0.000, 0.000, 0.000), Zn at (0.000, 0.000, 0.500) and C at (0.500, 0.500, 0.500).

=====

[5]
A plane-wave DFT calculation with SCAN was carried out for TaC3 at its PBEsol-relaxed geometry.

The total energy comes out at -23.4857 eV per atom. Its density of states at the Fermi level is 0.19 states/eV per atom.

The structure belongs to space group Cmcm (No. 63); the cell edges are 3.547, 9.675 and 4.214 Å and the angles 90.00°, 90.00° and 90.00°. The distinct sites, in fractional coordinates, are Ta at (0.000, 0.104, 0.250), C at (0.000, 0.203, 0.750) and C at (0.197, 0.403, 0.250).

=====

[6]
A plane-wave DFT calculation with SCAN was carried out for Ta2C at its PBEsol-relaxed geometry.

The total energy comes out at -48.3277 eV per atom. Its density of states at the Fermi level is 0.32 states/eV per atom.

The structure belongs to space group P-31m (No. 162); the cell edges are 5.3766, 5.3766 and 4.8932 Å and the angles 90.00°, 90.00° and 120.00°. The distinct sites, in fractional coordinates, are Ta at (0.0000, 0.3372, 0.2519), C at (0.0000, 0.0000, 0.5000) and C at (0.3333, 0.6667, 0.0000).

=====

[7]
A plane-wave DFT calculation with SCAN was carried out for Ta2C at its PBEsol-relaxed geometry.

The total energy comes out at -47.9383 eV per atom. Its density of states at the Fermi level is 0.48 states/eV per atom.

The structure belongs to space group C2/m (No. 12); the cell edges are 9.896, 3.016 and 7.461 Å and the angles 90.00°, 130.48° and 90.00°. The distinct sites, in fractional coordinates, are Ta at (0.073, 0.000, 0.386), Ta at (0.213, 0.000, 0.142) and C at (0.074, 0.500, 0.880).

=====

[8]
A plane-wave DFT calculation with SCAN was carried out for TaC2 at its PBEsol-relaxed geometry.

The total energy comes out at -28.1884 eV per atom. Its density of states at the Fermi level is 0.33 states/eV per atom.

The structure belongs to space group P6_3/mmc (No. 194); the cell edges are 2.7559, 2.7559 and 8.0872 Å and the angles 90.00°, 90.00° and 120.00°. The distinct sites, in fractional coordinates, are Ta at (0.3333, 0.6667, 0.2500) and C at (0.3333, 0.6667, 0.5348).

=====

[9]
A plane-wave DFT calculation with SCAN was carried out for Ta2C at its PBEsol-relaxed geometry.

The total energy comes out at -47.4725 eV per atom. Its density of states at the Fermi level is 0.65 states/eV per atom.

The structure belongs to space group I4/mmm (No. 139); the cell edges are 2.811, 2.811 and 10.030 Å and the angles 90.00°, 90.00° and 90.00°. The distinct sites, in fractional coordinates, are Ta at (0.000, 0.000, 0.131) and C at (0.000, 0.000, 0.500).

=====

[10]
A plane-wave DFT calculation with SCAN was carried out for TaC2 at its PBEsol-relaxed geometry.

The total energy comes out at -27.9876 eV per atom. Its density of states at the Fermi level is 0.41 states/eV per atom.

The structure belongs to space group I4_1/amd (No. 141, origin choice 2); the cell edges are 2.739, 2.739 and 14.036 Å and the angles 90.00°, 90.00° and 90.00°. The distinct sites, in fractional coordinates, are Ta at (0.000, 0.250, 0.375) and C at (0.000, 0.250, 0.778).

=====

[11]
A plane-wave DFT calculation with SCAN was carried out for Ta5C4 at its PBEsol-relaxed geometry.

The total energy comes out at -41.0289 eV per atom. Its density of states at the Fermi level is 0.27 states/eV per atom.

The structure belongs to space group I4/mmm (No. 139); the cell edges are 9.970, 9.970 and 3.034 Å and the angles 90.00°, 90.00° and 90.00°. The distinct sites, in fractional coordinates, are Ta at (0.000, 0.000, 0.000), Ta at (0.159, 0.159, 0.500) and C at (0.000, 0.217, 0.000).

=====

[12]
A plane-wave DFT calculation with SCAN was carried out for TaC3 at its PBEsol-relaxed geometry.

The total energy comes out at -22.2135 eV per atom. Its density of states at the Fermi level is 0.37 states/eV per atom.

The structure belongs to space group R-3m (No. 166, hexagonal axes); the cell edges are 2.6954, 2.6954 and 16.1493 Å and the angles 90.00°, 90.00° and 120.00°. The distinct sites, in fractional coordinates, are Ta at (0.0000, 0.0000, 0.0000), C at (0.0000, 0.0000, 0.2276) and C at (0.0000, 0.0000, 0.5000).